# BaSiAu3

A relaxed structure of BaSiAu3 (PBE, the Alexandria database).

## Properties
Uncorrected formation energy   -0.1593 eV per atom
Space-group type   P4mm (99)
Total DFT energy (no corrections)   -17.97 eV for the cell shown
E above lowest polymorph   394 meV/atom

CIF file:
```
data_BaSiAu3
_chemical_formula_sum 'Ba1 Si1 Au3'
_symmetry_space_group_name_H-M 'P 1'
_symmetry_Int_Tables_number 1
_cell_length_a 4.831
_cell_length_b 4.831
_cell_length_c 6.787
_cell_angle_alpha 90.00
_cell_angle_beta 90.00
_cell_angle_gamma 90.00
loop_
_symmetry_equiv_pos_as_xyz
'x,y,z'
loop_
_atom_site_label
_atom_site_fract_x
_atom_site_fract_y
_atom_site_fract_z
_atom_site_occupancy
Si1 0.500 0.500 0.711 1
Au1 0.000 0.000 0.404 1
Au2 0.500 0.000 0.602 1
Au3 0.000 0.500 0.602 1
Ba1 0.000 0.000 0.945 1
```

=====

# BaSiAu2

A relaxed structure of BaSiAu2 (PBE, the Alexandria database).

## Properties
Uncorrected formation energy   -0.0143 eV per atom
Space-group type   Cmmm (65)
Total DFT energy (no corrections)   -13.96 eV for the cell shown

CIF file:
```
data_BaSiAu2
_chemical_formula_sum 'Ba1 Si1 Au2'
_symmetry_space_group_name_H-M 'P 1'
_symmetry_Int_Tables_number 1
_cell_length_a 4.927
_cell_length_b 4.927
_cell_length_c 4.119
_cell_angle_alpha 90.00
_cell_angle_beta 90.00
_cell_angle_gamma 89.93
loop_
_symmetry_equiv_pos_as_xyz
'x,y,z'
loop_
_atom_site_label
_atom_site_fract_x
_atom_site_fract_y
_atom_site_fract_z
_atom_site_occupancy
Au1 0.000 0.000 0.000 1
Au2 0.500 0.500 0.000 1
Ba1 0.500 0.000 0.500 1
Si1 0.000 0.500 0.500 1
```

=====

# Ba3Si2Au

A relaxed structure of Ba3Si2Au (PBE, the Alexandria database).

## Properties
Uncorrected formation energy   -0.4386 eV per atom
Space-group type   P2_1/c (14)
Total DFT energy (no corrections)   -90.09 eV for the cell shown

CIF file:
```
data_Ba3Si2Au
_chemical_formula_sum 'Ba12 Si8 Au4'
_symmetry_space_group_name_H-M 'P 1'
_symmetry_Int_Tables_number 1
_cell_length_a 6.602
_cell_length_b 11.407
_cell_length_c 11.220
_cell_angle_alpha 90.00
_cell_angle_beta 107.17
_cell_angle_gamma 90.00
loop_
_symmetry_equiv_pos_as_xyz
'x,y,z'
loop_
_atom_site_label
_atom_site_fract_x
_atom_site_fract_y
_atom_site_fract_z
_atom_site_occupancy
Ba1 0.257 0.889 0.970 1
Ba2 0.243 0.389 0.530 1
Ba3 0.743 0.111 0.030 1
Ba4 0.757 0.611 0.470 1
Ba5 0.307 0.531 0.099 1
Ba6 0.193 0.031 0.401 1
Ba7 0.693 0.469 0.901 1
Ba8 0.807 0.969 0.599 1
Ba9 0.834 0.773 0.157 1
Ba10 0.666 0.273 0.343 1
Ba11 0.166 0.227 0.843 1
Ba12 0.334 0.727 0.657 1
Si1 0.572 0.990 0.268 1
Si2 0.928 0.490 0.232 1
Si3 0.428 0.010 0.732 1
Si4 0.072 0.510 0.768 1
Si5 0.214 0.625 0.360 1
Si6 0.286 0.125 0.140 1
Si7 0.786 0.375 0.640 1
Si8 0.714 0.875 0.860 1
Au1 0.391 0.796 0.286 1
Au2 0.109 0.296 0.214 1
Au3 0.609 0.204 0.714 1
Au4 0.891 0.704 0.786 1
```

=====

# Ba2Si2Au5

A relaxed structure of Ba2Si2Au5 (PBE, the Alexandria database).

## Properties
Uncorrected formation energy   -0.5047 eV per atom
Space-group type   P4/mmm (123)
Total DFT energy (no corrections)   -35.62 eV for the cell shown

CIF file:
```
data_Ba2Si2Au5
_chemical_formula_sum 'Ba2 Si2 Au5'
_symmetry_space_group_name_H-M 'P 1'
_symmetry_Int_Tables_number 1
_cell_length_a 4.852
_cell_length_b 4.852
_cell_length_c 10.396
_cell_angle_alpha 90.00
_cell_angle_beta 90.00
_cell_angle_gamma 90.00
loop_
_symmetry_equiv_pos_as_xyz
'x,y,z'
loop_
_atom_site_label
_atom_site_fract_x
_atom_site_fract_y
_atom_site_fract_z
_atom_site_occupancy
Ba1 0.000 0.000 0.000 1
Ba2 0.000 0.000 0.500 1
Si1 0.500 0.500 0.265 1
Si2 0.500 0.500 0.735 1
Au1 0.500 0.000 0.227 1
Au2 0.500 0.000 0.773 1
Au3 0.000 0.500 0.227 1
Au4 0.000 0.500 0.773 1
Au5 0.500 0.500 0.500 1
```

=====

# Ba2SiAu2

A relaxed structure of Ba2SiAu2 (PBE, the Alexandria database).

## Properties
Uncorrected formation energy   -0.4363 eV per atom
Space-group type   I4/mmm (139)
Total DFT energy (no corrections)   -18.00 eV for the cell shown
E above lowest polymorph   0 meV/atom

CIF file:
```
data_Ba2SiAu2
_chemical_formula_sum 'Ba2 Si1 Au2'
_symmetry_space_group_name_H-M 'P 1'
_symmetry_Int_Tables_number 1
_cell_length_a 6.470
_cell_length_b 6.470
_cell_length_c 5.971
_cell_angle_alpha 57.19
_cell_angle_beta 57.19
_cell_angle_gamma 90.00
loop_
_symmetry_equiv_pos_as_xyz
'x,y,z'
loop_
_atom_site_label
_atom_site_fract_x
_atom_site_fract_y
_atom_site_fract_z
_atom_site_occupancy
Si1 0.000 0.000 0.000 1
Au1 0.325 0.325 0.350 1
Au2 0.675 0.675 0.650 1
Ba1 0.750 0.250 0.500 1
Ba2 0.250 0.750 0.500 1
```

=====

# BaSiAu2

A relaxed structure of BaSiAu2 (PBE, the Alexandria database).

## Properties
Uncorrected formation energy   -0.4341 eV per atom
Space-group type   C2/m (12)
Total DFT energy (no corrections)   -15.64 eV for the cell shown

CIF file:
```
data_BaSiAu2
_chemical_formula_sum 'Ba1 Si1 Au2'
_symmetry_space_group_name_H-M 'P 1'
_symmetry_Int_Tables_number 1
_cell_length_a 4.488
_cell_length_b 4.488
_cell_length_c 6.376
_cell_angle_alpha 69.34
_cell_angle_beta 69.34
_cell_angle_gamma 60.01
loop_
_symmetry_equiv_pos_as_xyz
'x,y,z'
loop_
_atom_site_label
_atom_site_fract_x
_atom_site_fract_y
_atom_site_fract_z
_atom_site_occupancy
Au1 0.045 0.045 0.865 1
Au2 0.455 0.455 0.635 1
Ba1 0.250 0.250 0.250 1
Si1 0.750 0.750 0.750 1
```

=====

# BaSiAu3

A relaxed structure of BaSiAu3 (PBE, the Alexandria database).

## Properties
Uncorrected formation energy   -0.1191 eV per atom
Space-group type   P6_3/mmc (194)
Total DFT energy (no corrections)   -35.55 eV for the cell shown
E above lowest polymorph   434 meV/atom

CIF file:
```
data_BaSiAu3
_chemical_formula_sum 'Ba2 Si2 Au6'
_symmetry_space_group_name_H-M 'P 1'
_symmetry_Int_Tables_number 1
_cell_length_a 4.367
_cell_length_b 4.367
_cell_length_c 18.053
_cell_angle_alpha 90.00
_cell_angle_beta 90.00
_cell_angle_gamma 120.00
loop_
_symmetry_equiv_pos_as_xyz
'x,y,z'
loop_
_atom_site_label
_atom_site_fract_x
_atom_site_fract_y
_atom_site_fract_z
_atom_site_occupancy
Si1 0.333 0.667 0.750 1
Si2 0.667 0.333 0.250 1
Au1 0.000 0.000 0.250 1
Au2 0.000 0.000 0.750 1
Au3 0.333 0.667 0.885 1
Au4 0.333 0.667 0.615 1
Au5 0.667 0.333 0.385 1
Au6 0.667 0.333 0.115 1
Ba1 0.000 0.000 0.000 1
Ba2 0.000 0.000 0.500 1
```

=====

# BaSiAu3

A relaxed structure of BaSiAu3 (PBE, the Alexandria database).

## Properties
Uncorrected formation energy   -0.3853 eV per atom
Space-group type   P2_1/m (11)
Total DFT energy (no corrections)   -38.21 eV for the cell shown
E above lowest polymorph   167 meV/atom

CIF file:
```
data_BaSiAu3
_chemical_formula_sum 'Ba2 Si2 Au6'
_symmetry_space_group_name_H-M 'P 1'
_symmetry_Int_Tables_number 1
_cell_length_a 6.509
_cell_length_b 9.520
_cell_length_c 4.713
_cell_angle_alpha 90.00
_cell_angle_beta 68.92
_cell_angle_gamma 90.00
loop_
_symmetry_equiv_pos_as_xyz
'x,y,z'
loop_
_atom_site_label
_atom_site_fract_x
_atom_site_fract_y
_atom_site_fract_z
_atom_site_occupancy
Si1 0.579 0.250 0.708 1
Si2 0.421 0.750 0.292 1
Au1 0.366 0.035 0.816 1
Au2 0.634 0.965 0.184 1
Au3 0.366 0.465 0.816 1
Au4 0.634 0.535 0.184 1
Au5 0.713 0.250 0.142 1
Au6 0.287 0.750 0.858 1
Ba1 0.139 0.250 0.428 1
Ba2 0.861 0.750 0.572 1
```